Here is a relaxed structure of Mg9Cd2In from Alexandria via LeMat-Bulk. Energies are from PBE-GGA.

Unit cell a=4.453 b=4.453 c=13.471 alpha=90.00 beta=90.00 gamma=90.00
Space group P4/mmm (No. 123)
Symmetry-distinct sites (fractional):
Mg 0.000 0.000 0.000 (multiplicity 1)
Mg 0.000 0.000 0.335 (multiplicity 2)
Mg 0.000 0.500 0.170 (multiplicity 4)
Mg 0.000 0.500 0.500 (multiplicity 2)
Cd 0.500 0.500 0.334 (multiplicity 2)
In 0.500 0.500 0.000 (multiplicity 1)

DOS(E_F)	0.31	states/eV/atom
energy of formation	-0.874	eV/f.u.
magnetic moment	0.00	μB/f.u.